(1)
## Sm2NiSn (PBE-GGA)

Data for a relaxed Sm2NiSn crystal.

Results
E_tot = -21.0 eV per formula unit
crystal system = orthorhombic

a = 4.373 Å, b = 4.104 Å, c = 11.273 Å
α = 90.00°, β = 90.00°, γ = 90.00°
Sites, in units of the cell vectors:
Sm1 0.000 0.000 0.000
Sm2 0.000 0.500 0.500
Sm3 0.500 0.000 0.289
Sm4 0.500 0.500 0.789
Ni1 0.000 0.000 0.728
Ni2 0.000 0.500 0.228
Sn1 0.500 0.000 0.576
Sn2 0.500 0.500 0.076



(2)
## Zr3CdIn2PdPt2 (PBE-GGA)

Data for a relaxed Zr3CdIn2PdPt2 crystal.

Results
E_tot = -55.7 eV per formula unit
crystal system = orthorhombic

a = 3.524 Å, b = 7.613 Å, c = 7.613 Å
α = 120.01°, β = 90.00°, γ = 90.00°
Sites, in units of the cell vectors:
Zr1 0.000 0.000 0.000
Zr2 0.000 0.412 0.807
Zr3 0.000 0.807 0.412
Cd1 0.500 0.676 0.676
In1 0.500 0.137 0.405
In2 0.500 0.405 0.137
Pd1 0.000 0.402 0.402
Pt1 0.500 0.074 0.738
Pt2 0.500 0.738 0.074



(3)
## SmBeF4 (PBE-GGA)

Data for a relaxed SmBeF4 crystal.

Results
E_tot = -35.1 eV per formula unit
crystal system = orthorhombic
energy above the lowest structure with this stoichiometry = 0 meV per atom

a = 8.264 Å, b = 4.926 Å, c = 6.926 Å
α = 90.00°, β = 90.00°, γ = 90.00°
Sites, in units of the cell vectors:
Sm1 0.232 0.225 0.000
Sm2 0.268 0.725 0.500
Sm3 0.732 0.275 0.000
Sm4 0.768 0.775 0.500
Be1 0.050 0.718 0.855
Be2 0.450 0.218 0.355
Be3 0.550 0.782 0.855
Be4 0.950 0.282 0.355
F1 0.101 0.978 0.744
F2 0.129 0.715 0.055
F3 0.130 0.331 0.336
F4 0.145 0.483 0.744
F5 0.355 0.983 0.244
F6 0.370 0.831 0.836
F7 0.371 0.215 0.555
F8 0.399 0.478 0.244
F9 0.601 0.522 0.744
F10 0.629 0.785 0.055
F11 0.630 0.169 0.336
F12 0.645 0.017 0.744
F13 0.855 0.517 0.244
F14 0.870 0.669 0.836
F15 0.871 0.285 0.555
F16 0.899 0.022 0.244



(4)
## Y4NiB3 (PBE-GGA)

Data for a relaxed Y4NiB3 crystal.

Results
E_tot = -50.1 eV per formula unit
crystal system = hexagonal

a = 3.614 Å, b = 3.614 Å, c = 27.818 Å
α = 90.00°, β = 90.00°, γ = 120.00°
Sites, in units of the cell vectors:
Y1 0.000 0.000 0.181
Y2 0.000 0.000 0.319
Y3 0.000 0.000 0.681
Y4 0.000 0.000 0.819
Y5 0.333 0.667 0.061
Y6 0.333 0.667 0.439
Y7 0.667 0.333 0.561
Y8 0.667 0.333 0.939
Ni1 0.333 0.667 0.250
Ni2 0.667 0.333 0.750
B1 0.000 0.000 0.000
B2 0.000 0.000 0.500
B3 0.333 0.667 0.624
B4 0.333 0.667 0.876
B5 0.667 0.333 0.124
B6 0.667 0.333 0.376



(5)
## Li2Sc2GaGePd2 (PBE-GGA)

Data for a relaxed Li2Sc2GaGePd2 crystal.

Results
E_tot = -40.2 eV per formula unit
crystal system = tetragonal

a = 4.459 Å, b = 4.459 Å, c = 6.333 Å
α = 90.00°, β = 90.00°, γ = 90.00°
Sites, in units of the cell vectors:
Li1 0.000 0.500 0.250
Li2 0.500 0.000 0.750
Sc1 0.000 0.000 0.000
Sc2 0.500 0.500 0.500
Ga1 0.000 0.000 0.500
Ge1 0.500 0.500 0.000
Pd1 0.000 0.500 0.750
Pd2 0.500 0.000 0.250



(6)
## TbTmAsO (PBE-GGA)

Data for a relaxed TbTmAsO crystal.

Results
E_tot = -26.4 eV per formula unit
crystal system = tetragonal
energy above the lowest structure with this stoichiometry = 70 meV per atom

a = 4.317 Å, b = 4.317 Å, c = 8.730 Å
α = 90.00°, β = 90.00°, γ = 90.00°
Sites, in units of the cell vectors:
Tb1 0.250 0.250 0.103
Tb2 0.750 0.750 0.897
Tm1 0.250 0.750 0.500
Tm2 0.750 0.250 0.500
As1 0.250 0.250 0.702
As2 0.750 0.750 0.298
O1 0.250 0.750 0.000
O2 0.750 0.250 0.000